Mg6CdPb12: optimized geometry, PBE.

Computed properties:
total energy	-160.88	eV/cell
DOS at the Fermi energy	10.23	states/eV/f.u.
energy relative to the elements	130.8	kJ/mol of formula units

Geometry as CIF:
```
data_Mg6CdPb12
_space_group_name_H-M_alt 'R -3'
_space_group_IT_number 148
_space_group_name_Hall '-R 3'
_cell_length_a 13.4579
_cell_length_b 13.4579
_cell_length_c 10.9968
_cell_angle_alpha 90.00
_cell_angle_beta 90.00
_cell_angle_gamma 120.00
loop_
_atom_site_label
_atom_site_type_symbol
_atom_site_fract_x
_atom_site_fract_y
_atom_site_fract_z
_atom_site_occupancy
Mg1 Mg 0.0254 0.1445 0.2040 1
Cd1 Cd 0.0000 0.0000 0.5000 1
Pb1 Pb 0.0635 0.4632 0.6105 1
Pb2 Pb 0.0648 0.4825 0.1217 1
```

***

Mg5Cd2Pb2: optimized geometry, PBE.

Computed properties:
total energy	-69.46	eV/cell
DOS at the Fermi energy	2.01	states/eV/f.u.
energy relative to the elements	-13.9	kJ/mol of formula units

Geometry as CIF:
```
data_Mg5Cd2Pb2
_space_group_name_H-M_alt 'C m c e'
_space_group_IT_number 64
_space_group_name_Hall '-C 2ac 2'
_cell_length_a 15.2503
_cell_length_b 7.6410
_cell_length_c 7.7294
_cell_angle_alpha 90.00
_cell_angle_beta 90.00
_cell_angle_gamma 90.00
loop_
_atom_site_label
_atom_site_type_symbol
_atom_site_fract_x
_atom_site_fract_y
_atom_site_fract_z
_atom_site_occupancy
Mg1 Mg 0.0000 0.0000 0.0000 1
Mg2 Mg 0.1289 0.1670 0.3325 1
Cd1 Cd 0.0000 0.1357 0.6345 1
Pb1 Pb 0.2084 0.0000 0.0000 1
```

***

MgCd2Pb: optimized geometry, PBE.

Computed properties:
total energy	-14.28	eV/cell
DOS at the Fermi energy	1.69	states/eV/f.u.
energy relative to the elements	-0.9	kJ/mol of formula units

Geometry as CIF:
```
data_MgCd2Pb
_space_group_name_H-M_alt 'I m m m'
_space_group_IT_number 71
_space_group_name_Hall '-I 2 2'
_cell_length_a 4.5024
_cell_length_b 4.7246
_cell_length_c 9.2997
_cell_angle_alpha 90.00
_cell_angle_beta 90.00
_cell_angle_gamma 90.00
loop_
_atom_site_label
_atom_site_type_symbol
_atom_site_fract_x
_atom_site_fract_y
_atom_site_fract_z
_atom_site_occupancy
Mg1 Mg 0.0000 0.0000 0.0000 1
Cd1 Cd 0.0000 0.5000 0.2527 1
Pb1 Pb 0.0000 0.0000 0.5000 1
```

***

Mg2CdPb: optimized geometry, PBE.

Computed properties:
total energy	-14.28	eV/cell
DOS at the Fermi energy	2.18	states/eV/f.u.
energy relative to the elements	65.0	kJ/mol of formula units

Geometry as CIF:
```
data_Mg2CdPb
_space_group_name_H-M_alt 'I m m m'
_space_group_IT_number 71
_space_group_name_Hall '-I 2 2'
_cell_length_a 3.2639
_cell_length_b 5.5406
_cell_length_c 12.1621
_cell_angle_alpha 90.00
_cell_angle_beta 90.00
_cell_angle_gamma 90.00
loop_
_atom_site_label
_atom_site_type_symbol
_atom_site_fract_x
_atom_site_fract_y
_atom_site_fract_z
_atom_site_occupancy
Mg1 Mg 0.0000 0.0000 0.2449 1
Cd1 Cd 0.0000 0.0000 0.0000 1
Pb1 Pb 0.0000 0.0000 0.5000 1
```

***

MgCd2Pb: optimized geometry, PBE.

Computed properties:
total energy	-7.17	eV/cell
DOS at the Fermi energy	1.40	states/eV/f.u.
energy relative to the elements	-3.4	kJ/mol of formula units

Geometry as CIF:
```
data_MgCd2Pb
_space_group_name_H-M_alt 'P m m m'
_space_group_IT_number 47
_cell_length_a 3.2351
_cell_length_b 4.4799
_cell_length_c 6.8280
_cell_angle_alpha 90.00
_cell_angle_beta 90.00
_cell_angle_gamma 90.00
loop_
_space_group_symop_operation_xyz
'x,y,z'
'-x,-y,-z'
'-x,-y,z'
'x,y,-z'
'x,-y,-z'
'-x,y,z'
'-x,y,-z'
'x,-y,z'
loop_
_atom_site_label
_atom_site_type_symbol
_atom_site_fract_x
_atom_site_fract_y
_atom_site_fract_z
_atom_site_occupancy
Mg1 Mg 0.0000 0.0000 0.0000 1
Cd1 Cd 0.5000 0.5000 0.2209 1
Pb1 Pb 0.0000 0.0000 0.5000 1
```

***

MgCd2Pb: optimized geometry, PBE.

Computed properties:
total energy	-14.08	eV/cell
DOS at the Fermi energy	1.67	states/eV/f.u.
energy relative to the elements	8.9	kJ/mol of formula units

Geometry as CIF:
```
data_MgCd2Pb
_space_group_name_H-M_alt 'I m m 2'
_space_group_IT_number 44
_cell_length_a 3.6754
_cell_length_b 5.3575
_cell_length_c 10.2364
_cell_angle_alpha 90.00
_cell_angle_beta 90.00
_cell_angle_gamma 90.00
loop_
_space_group_symop_operation_xyz
'x,y,z'
'-x,-y,z'
'-x,y,z'
'x,-y,z'
'x+1/2,y+1/2,z+1/2'
'-x+1/2,-y+1/2,z+1/2'
'-x+1/2,y+1/2,z+1/2'
'x+1/2,-y+1/2,z+1/2'
loop_
_atom_site_label
_atom_site_type_symbol
_atom_site_fract_x
_atom_site_fract_y
_atom_site_fract_z
_atom_site_occupancy
Mg1 Mg 0.0000 0.0000 0.0000 1
Cd1 Cd 0.0000 0.0000 0.5220 1
Cd2 Cd 0.0000 0.5000 0.2630 1
Pb1 Pb 0.0000 0.5000 0.7580 1
```

***

MgCd14Pb: optimized geometry, PBE.

Computed properties:
total energy	-17.96	eV/cell
DOS at the Fermi energy	7.08	states/eV/f.u.
energy relative to the elements	14.6	kJ/mol of formula units

Geometry as CIF:
```
data_MgCd14Pb
_space_group_name_H-M_alt 'P 4/m m m'
_space_group_IT_number 123
_space_group_name_Hall '-P 4 2'
_cell_length_a 6.3946
_cell_length_b 6.3946
_cell_length_c 9.0790
_cell_angle_alpha 90.00
_cell_angle_beta 90.00
_cell_angle_gamma 90.00
loop_
_atom_site_label
_atom_site_type_symbol
_atom_site_fract_x
_atom_site_fract_y
_atom_site_fract_z
_atom_site_occupancy
Mg1 Mg 0.0000 0.0000 0.0000 1
Cd1 Cd 0.0000 0.0000 0.5000 1
Cd2 Cd 0.0000 0.5000 0.0000 1
Cd3 Cd 0.0000 0.5000 0.5000 1
Cd4 Cd 0.2429 0.2429 0.2560 1
Cd5 Cd 0.5000 0.5000 0.5000 1
Pb1 Pb 0.5000 0.5000 0.0000 1
```

***

Mg2Cd10Pb: optimized geometry, PBE.

Computed properties:
total energy	-64.01	eV/cell
DOS at the Fermi energy	4.60	states/eV/f.u.
energy relative to the elements	4.4	kJ/mol of formula units

Geometry as CIF:
```
data_Mg2Cd10Pb
_space_group_name_H-M_alt 'F m m m'
_space_group_IT_number 69
_space_group_name_Hall '-F 2 2'
_cell_length_a 6.1431
_cell_length_b 14.1194
_cell_length_c 14.1499
_cell_angle_alpha 90.00
_cell_angle_beta 90.00
_cell_angle_gamma 90.00
loop_
_atom_site_label
_atom_site_type_symbol
_atom_site_fract_x
_atom_site_fract_y
_atom_site_fract_z
_atom_site_occupancy
Mg1 Mg 0.2500 0.0000 0.2500 1
Cd1 Cd 0.0000 0.1081 0.1105 1
Cd2 Cd 0.0000 0.1723 0.3248 1
Cd3 Cd 0.2500 0.2500 0.0000 1
Pb1 Pb 0.0000 0.0000 0.5000 1
```

***

> Look up the energy relative to the elements of the seventh one.

14.6 kJ/mol of formula units

***

> The highest DOS at the Fermi energy belongs to which entry?

Mg6CdPb12

***

Copy entry 5 word for word.
MgCd2Pb: optimized geometry, PBE.

Computed properties:
total energy	-7.17	eV/cell
DOS at the Fermi energy	1.40	states/eV/f.u.
energy relative to the elements	-3.4	kJ/mol of formula units

Geometry as CIF:
```
data_MgCd2Pb
_space_group_name_H-M_alt 'P m m m'
_space_group_IT_number 47
_cell_length_a 3.2351
_cell_length_b 4.4799
_cell_length_c 6.8280
_cell_angle_alpha 90.00
_cell_angle_beta 90.00
_cell_angle_gamma 90.00
loop_
_space_group_symop_operation_xyz
'x,y,z'
'-x,-y,-z'
'-x,-y,z'
'x,y,-z'
'x,-y,-z'
'-x,y,z'
'-x,y,-z'
'x,-y,z'
loop_
_atom_site_label
_atom_site_type_symbol
_atom_site_fract_x
_atom_site_fract_y
_atom_site_fract_z
_atom_site_occupancy
Mg1 Mg 0.0000 0.0000 0.0000 1
Cd1 Cd 0.5000 0.5000 0.2209 1
Pb1 Pb 0.0000 0.0000 0.5000 1
```

***

> The highest total energy belongs to which entry?

number 5